The following is a PBE calculation of crystalline La4PrSc at its relaxed geometry, from Alexandria.

a = 8.126 Å, b = 8.126 Å, c = 5.167 Å
α = 90.00°, β = 90.00°, γ = 142.79°
Positions (direct):
La 0.163 0.837 0.000
La 0.335 0.665 0.500
La 0.665 0.335 0.500
La 0.837 0.163 0.000
Pr 0.500 0.500 0.000
Sc 0.000 0.000 0.500

Output
Electronic total energy ... -5.097 eV per atom
Energy above the lowest structure with this stoichiometry ... 0 meV/atom

=====

The following is a PBE calculation of crystalline HfInP2 at its relaxed geometry, from Alexandria.

a = 7.162 Å, b = 7.162 Å, c = 7.162 Å
α = 30.26°, β = 30.26°, γ = 30.26°
Positions (direct):
Hf 0.000 0.000 0.000
In 0.166 0.166 0.166
P 0.405 0.405 0.405
P 0.590 0.590 0.590

Output
Electronic total energy ... -6.342 eV per atom

=====

The following is a PBE calculation of crystalline NaHSe2Br at its relaxed geometry, from Alexandria.

a = 5.701 Å, b = 5.701 Å, c = 5.565 Å
α = 90.00°, β = 90.00°, γ = 90.00°
Positions (direct):
Na 0.000 0.000 0.000
H 0.500 0.500 0.500
Se 0.000 0.500 0.000
Se 0.500 0.000 0.000
Br 0.000 0.000 0.500

Output
Electronic total energy ... -1.878 eV per atom
Energy above the lowest structure with this stoichiometry ... 1013 meV/atom

=====

The following is a PBE calculation of crystalline K4LaIn at its relaxed geometry, from Alexandria.

a = 7.403 Å, b = 7.403 Å, c = 7.403 Å
α = 60.00°, β = 60.00°, γ = 60.00°
Positions (direct):
K 0.376 0.376 0.376
K 0.376 0.376 0.871
K 0.376 0.871 0.376
K 0.871 0.376 0.376
La 0.000 0.000 0.000
In 0.750 0.750 0.750

Output
Electronic total energy ... -1.553 eV per atom

=====

The following is a PBE calculation of crystalline Na2TaReO6 at its relaxed geometry, from Alexandria.

a = 5.572 Å, b = 5.572 Å, c = 3.927 Å
α = 90.00°, β = 90.00°, γ = 90.00°
Positions (direct):
Na 0.000 0.500 0.000
Na 0.500 0.000 0.000
Ta 0.000 0.000 0.500
Re 0.500 0.500 0.500
O 0.000 0.000 0.000
O 0.253 0.253 0.500
O 0.253 0.747 0.500
O 0.500 0.500 0.000
O 0.747 0.253 0.500
O 0.747 0.747 0.500

Output
Uncorrected formation energy ... -2.13 eV/atom
Electronic total energy ... -7.799 eV per atom

=====

The following is a PBE calculation of crystalline CaEuPAu at its relaxed geometry, from Alexandria.

a = 5.128 Å, b = 5.128 Å, c = 5.128 Å
α = 60.00°, β = 60.00°, γ = 60.00°
Positions (direct):
Ca 0.000 0.000 0.000
Eu 0.500 0.500 0.500
P 0.750 0.750 0.750
Au 0.250 0.250 0.250

Output
Electronic total energy ... -6.173 eV per atom

=====

The following is a PBE calculation of crystalline K3BaSi at its relaxed geometry, from Alexandria.

a = 6.627 Å, b = 6.627 Å, c = 6.627 Å
α = 90.00°, β = 90.00°, γ = 90.00°
Positions (direct):
K 0.000 0.000 0.500
K 0.000 0.500 0.000
K 0.500 0.000 0.000
Ba 0.500 0.500 0.500
Si 0.000 0.000 0.000

Output
Uncorrected formation energy ... 0.38 eV/atom
Electronic total energy ... -1.743 eV per atom
Energy above the lowest structure with this stoichiometry ... 0 meV/atom

=====

The following is a PBE calculation of crystalline KC2I at its relaxed geometry, from Alexandria.

a = 6.008 Å, b = 6.008 Å, c = 6.008 Å
α = 114.32°, β = 114.32°, γ = 100.15°
Positions (direct):
K 0.000 0.000 0.000
K 0.750 0.250 0.500
C 0.217 0.125 0.592
C 0.375 0.783 0.908
C 0.533 0.625 0.408
C 0.875 0.467 0.092
I 0.250 0.750 0.500
I 0.500 0.500 0.000

Output
Uncorrected formation energy ... 2.11 eV/atom
Electronic total energy ... -3.163 eV per atom
Energy above the lowest structure with this stoichiometry ... 0 meV/atom